Entry 1:
# Th4C2Se (GGA-PBE, optimized geometry)
# **M_tot**: 0.0 μB per cell
# **Space group**: R-3m, No. 166
data_Th4C2Se
_chemical_formula_sum 'Th4 C2 Se1'
_space_group_name_H-M_alt 'P 1'
_space_group_IT_number 1
_cell_length_a 3.778
_cell_length_b 3.778
_cell_length_c 13.591
_cell_angle_alpha 82.01
_cell_angle_beta 82.01
_cell_angle_gamma 60.00
loop_
_space_group_symop_operation_xyz
'x,y,z'
loop_
_atom_site_label
_atom_site_type_symbol
_atom_site_fract_x
_atom_site_fract_y
_atom_site_fract_z
_atom_site_occupancy
Th1 Th 0.876 0.876 0.372 1
Th2 Th 0.280 0.280 0.160 1
Th3 Th 0.720 0.720 0.840 1
Th4 Th 0.124 0.124 0.628 1
C1 C 0.423 0.423 0.732 1
C2 C 0.577 0.577 0.268 1
Se1 Se 0.000 0.000 0.000 1

***

Entry 2:
# Th6Tl3C2Se (GGA-PBE, optimized geometry)
# **M_tot**: 0.0 μB per cell
# **Space group**: C2/m, No. 12
data_Th6Tl3C2Se
_chemical_formula_sum 'Th6 Tl3 C2 Se1'
_space_group_name_H-M_alt 'P 1'
_space_group_IT_number 1
_cell_length_a 3.846
_cell_length_b 9.518
_cell_length_c 10.105
_cell_angle_alpha 115.14
_cell_angle_beta 100.97
_cell_angle_gamma 90.00
loop_
_space_group_symop_operation_xyz
'x,y,z'
loop_
_atom_site_label
_atom_site_type_symbol
_atom_site_fract_x
_atom_site_fract_y
_atom_site_fract_z
_atom_site_occupancy
C1 C 0.171 0.333 0.341 1
C2 C 0.829 0.667 0.659 1
Th1 Th 0.029 0.250 0.058 1
Th2 Th 0.971 0.750 0.942 1
Th3 Th 0.316 0.460 0.632 1
Th4 Th 0.684 0.540 0.368 1
Th5 Th 0.665 0.147 0.331 1
Th6 Th 0.335 0.853 0.669 1
Tl1 Tl 0.500 0.500 0.000 1
Tl2 Tl 0.160 0.829 0.319 1
Tl3 Tl 0.840 0.171 0.681 1
Se1 Se 0.500 0.000 0.000 1

***

Entry 3:
# TmThCSe (GGA-PBE, optimized geometry)
# **M_tot**: 0.6 μB per cell
# **Space group**: R3m, No. 160
data_TmThCSe
_chemical_formula_sum 'Tm1 Th1 C1 Se1'
_space_group_name_H-M_alt 'P 1'
_space_group_IT_number 1
_cell_length_a 3.751
_cell_length_b 3.751
_cell_length_c 7.232
_cell_angle_alpha 90.00
_cell_angle_beta 105.02
_cell_angle_gamma 120.00
loop_
_space_group_symop_operation_xyz
'x,y,z'
loop_
_atom_site_label
_atom_site_type_symbol
_atom_site_fract_x
_atom_site_fract_y
_atom_site_fract_z
_atom_site_occupancy
Tm1 Tm 0.105 0.950 0.071 1
Se1 Se 0.958 0.377 0.350 1
C1 C 0.310 0.553 0.879 1
Th1 Th 0.505 0.150 0.670 1

***

Entry 4:
# ThUCSe2 (GGA-PBE, optimized geometry)
# **M_tot**: 1.3 μB per cell
# **Space group**: P4/nmm, No. 129
data_ThUCSe2
_chemical_formula_sum 'Th2 U2 C2 Se4'
_space_group_name_H-M_alt 'P 1'
_space_group_IT_number 1
_cell_length_a 4.014
_cell_length_b 4.014
_cell_length_c 13.889
_cell_angle_alpha 90.00
_cell_angle_beta 90.00
_cell_angle_gamma 90.00
loop_
_space_group_symop_operation_xyz
'x,y,z'
loop_
_atom_site_label
_atom_site_type_symbol
_atom_site_fract_x
_atom_site_fract_y
_atom_site_fract_z
_atom_site_occupancy
Se1 Se 0.500 0.000 0.313 1
Se2 Se 0.000 0.500 0.687 1
Se3 Se 0.000 0.500 0.126 1
Se4 Se 0.500 0.000 0.874 1
Th1 Th 0.500 0.000 0.100 1
Th2 Th 0.000 0.500 0.900 1
U1 U 0.500 0.000 0.582 1
U2 U 0.000 0.500 0.418 1
C1 C 0.500 0.500 0.500 1
C2 C 0.000 0.000 0.500 1

***

Entry 5:
# Th4ZnCSe2 (GGA-PBE, optimized geometry)
# **M_tot**: 0.0 μB per cell
# **Space group**: P2/m, No. 10
data_Th4ZnCSe2
_chemical_formula_sum 'Th4 Zn1 C1 Se2'
_space_group_name_H-M_alt 'P 1'
_space_group_IT_number 1
_cell_length_a 3.979
_cell_length_b 7.230
_cell_length_c 7.346
_cell_angle_alpha 107.71
_cell_angle_beta 90.00
_cell_angle_gamma 90.00
loop_
_space_group_symop_operation_xyz
'x,y,z'
loop_
_atom_site_label
_atom_site_type_symbol
_atom_site_fract_x
_atom_site_fract_y
_atom_site_fract_z
_atom_site_occupancy
Th1 Th 0.500 0.270 0.227 1
Th2 Th 0.500 0.730 0.773 1
Th3 Th 0.000 0.287 0.790 1
Th4 Th 0.000 0.713 0.210 1
Se1 Se 0.000 0.500 0.500 1
Se2 Se 0.500 0.000 0.500 1
Zn1 Zn 0.000 0.000 0.000 1
C1 C 0.500 0.500 0.000 1

***

Entry 6:
# TiCSe3 (GGA-PBE, optimized geometry)
# **M_tot**: 0.9 μB per cell
# **Space group**: Pm-3m, No. 221
data_TiCSe3
_chemical_formula_sum 'Ti1 C1 Se3'
_space_group_name_H-M_alt 'P 1'
_space_group_IT_number 1
_cell_length_a 4.916
_cell_length_b 4.916
_cell_length_c 4.916
_cell_angle_alpha 90.00
_cell_angle_beta 90.00
_cell_angle_gamma 90.00
loop_
_space_group_symop_operation_xyz
'x,y,z'
loop_
_atom_site_label
_atom_site_type_symbol
_atom_site_fract_x
_atom_site_fract_y
_atom_site_fract_z
_atom_site_occupancy
Se1 Se 0.000 0.500 0.000 1
Se2 Se 0.000 0.000 0.500 1
Se3 Se 0.500 0.000 0.000 1
C1 C 0.500 0.500 0.500 1
Ti1 Ti 0.000 0.000 0.000 1

***

Entry 7:
# Ti4CSe5 (GGA-PBE, optimized geometry)
# **M_tot**: 0.0 μB per cell
# **Space group**: C2/m, No. 12
data_Ti4CSe5
_chemical_formula_sum 'Ti4 C1 Se5'
_space_group_name_H-M_alt 'P 1'
_space_group_IT_number 1
_cell_length_a 3.383
_cell_length_b 7.126
_cell_length_c 8.005
_cell_angle_alpha 101.68
_cell_angle_beta 102.20
_cell_angle_gamma 90.00
loop_
_space_group_symop_operation_xyz
'x,y,z'
loop_
_atom_site_label
_atom_site_type_symbol
_atom_site_fract_x
_atom_site_fract_y
_atom_site_fract_z
_atom_site_occupancy
Se1 Se 0.500 0.500 0.000 1
Se2 Se 0.831 0.178 0.662 1
Se3 Se 0.169 0.822 0.338 1
Se4 Se 0.838 0.666 0.676 1
Se5 Se 0.162 0.334 0.324 1
Ti1 Ti 0.639 0.067 0.279 1
Ti2 Ti 0.001 0.789 0.003 1
Ti3 Ti 0.999 0.211 0.997 1
Ti4 Ti 0.361 0.933 0.721 1
C1 C 0.500 0.000 0.000 1

***

Entry 8:
# Ti3CSe (GGA-PBE, optimized geometry)
# **M_tot**: 1.8 μB per cell
# **Space group**: Pm-3m, No. 221
data_Ti3CSe
_chemical_formula_sum 'Ti3 C1 Se1'
_space_group_name_H-M_alt 'P 1'
_space_group_IT_number 1
_cell_length_a 4.197
_cell_length_b 4.197
_cell_length_c 4.197
_cell_angle_alpha 90.00
_cell_angle_beta 90.00
_cell_angle_gamma 90.00
loop_
_space_group_symop_operation_xyz
'x,y,z'
loop_
_atom_site_label
_atom_site_type_symbol
_atom_site_fract_x
_atom_site_fract_y
_atom_site_fract_z
_atom_site_occupancy
Ti1 Ti 0.000 0.000 0.500 1
Ti2 Ti 0.500 0.000 0.000 1
Ti3 Ti 0.000 0.500 0.000 1
Se1 Se 0.500 0.500 0.500 1
C1 C 0.000 0.000 0.000 1

***

Entry 9:
# Ti3CSe (GGA-PBE, optimized geometry)
# **M_tot**: 0.0 μB per cell
# **Space group**: Cmcm, No. 63
data_Ti3CSe
_chemical_formula_sum 'Ti6 C2 Se2'
_space_group_name_H-M_alt 'P 1'
_space_group_IT_number 1
_cell_length_a 3.257
_cell_length_b 5.547
_cell_length_c 8.073
_cell_angle_alpha 90.00
_cell_angle_beta 90.00
_cell_angle_gamma 107.07
loop_
_space_group_symop_operation_xyz
'x,y,z'
loop_
_atom_site_label
_atom_site_type_symbol
_atom_site_fract_x
_atom_site_fract_y
_atom_site_fract_z
_atom_site_occupancy
C1 C 0.000 0.000 0.000 1
C2 C 0.000 0.000 0.500 1
Ti1 Ti 0.373 0.747 0.554 1
Ti2 Ti 0.946 0.891 0.250 1
Ti3 Ti 0.373 0.747 0.946 1
Ti4 Ti 0.054 0.109 0.750 1
Ti5 Ti 0.627 0.253 0.446 1
Ti6 Ti 0.627 0.253 0.054 1
Se1 Se 0.257 0.514 0.250 1
Se2 Se 0.743 0.486 0.750 1

***

Entry 10:
# Ti6CSe2 (GGA-PBE, optimized geometry)
# **M_tot**: 0.0 μB per cell
# **Space group**: Amm2, No. 38
data_Ti6CSe2
_chemical_formula_sum 'Ti6 C1 Se2'
_space_group_name_H-M_alt 'P 1'
_space_group_IT_number 1
_cell_length_a 3.345
_cell_length_b 6.771
_cell_length_c 6.671
_cell_angle_alpha 120.50
_cell_angle_beta 90.00
_cell_angle_gamma 90.00
loop_
_space_group_symop_operation_xyz
'x,y,z'
loop_
_atom_site_label
_atom_site_type_symbol
_atom_site_fract_x
_atom_site_fract_y
_atom_site_fract_z
_atom_site_occupancy
Ti1 Ti 0.500 0.597 0.000 1
Ti2 Ti 0.500 0.392 0.383 1
Ti3 Ti 0.000 0.765 0.775 1
Ti4 Ti 0.000 0.237 0.000 1
Ti5 Ti 0.500 0.009 0.617 1
Ti6 Ti 0.000 0.990 0.225 1
Se1 Se 0.000 0.669 0.340 1
Se2 Se 0.000 0.329 0.660 1
C1 C 0.500 0.013 0.000 1

***

Number 1: ΔE_f (raw) -674 meV per atom. Number 2: ΔE_f (raw) -432 meV per atom. Number 3: ΔE_f (raw) -1083 meV per atom. Number 4: ΔE_f (raw) -965 meV per atom. Number 5: ΔE_f (raw) -844 meV per atom. Number 6: ΔE_f (raw) 1079 meV per atom. Number 7: ΔE_f (raw) -1036 meV per atom. Number 8: ΔE_f (raw) -387 meV per atom. Number 9: ΔE_f (raw) -905 meV per atom. Number 10: ΔE_f (raw) -652 meV per atom.